one | The following is a PBE calculation of a relaxed structure of Ac8ZnRu2, from the Alexandria database.

Cell and atoms, written as extended XYZ:
```
11
Lattice="-3.785 -4.699 1.294 1.802 -0.386 8.192 -6.453 4.717 2.572" Properties=species:S:1:pos:R:3 pbc="T T T"
Ac -3.698 -2.199 9.033
Ac -0.608 -0.721 5.836
Ac -6.452 0.488 9.920
Ac -1.984 -0.856 2.137
Ac -7.828 0.353 6.222
Ac -4.738 1.831 3.024
Ac -3.957 1.433 7.113
Ac -4.479 -1.801 4.945
Zn 0.000 0.000 0.000
Ru -5.835 -1.185 7.495
Ru -2.601 0.817 4.562
```

***

two | The following is a PBE calculation of a relaxed structure of Ac8ZnRu2, from the Alexandria database.

Cell and atoms, written as extended XYZ:
```
11
Lattice="-1.150 -6.048 -3.041 5.337 -1.557 7.464 -1.984 -0.959 9.042" Properties=species:S:1:pos:R:3 pbc="T T T"
Ac -0.836 -1.873 5.903
Ac 2.878 -2.176 5.103
Ac 3.039 -6.691 7.563
Ac 1.649 -3.033 8.799
Ac -0.674 -6.388 8.363
Ac 0.245 -2.643 2.136
Ac 1.959 -5.920 11.330
Ac 0.554 -5.531 4.667
Zn 0.000 0.000 0.000
Ru -0.050 -5.683 1.920
Ru 2.254 -2.881 11.546
```

***

Relative stability in meV/atom, measured from the most stable structure: one 55; two 0

***

one | The following is a PBE calculation of a relaxed structure of AcS2, from the Alexandria database.

Cell and atoms, written as extended XYZ:
```
3
Lattice="-2.254 -0.499 -3.352 -0.178 -4.003 0.714 -2.519 2.846 3.739" Properties=species:S:1:pos:R:3 pbc="T T T"
Ac -1.216 -2.251 -1.319
S -1.064 0.169 0.689
S -3.886 -1.824 0.412
```

***

two | The following is a PBE calculation of a relaxed structure of AcS2, from the Alexandria database.

Cell and atoms, written as extended XYZ:
```
12
Lattice="4.285 0.000 0.000 0.000 8.463 -0.006 0.000 -0.018 8.468" Properties=species:S:1:pos:R:3 pbc="T T T"
Ac 0.894 7.344 2.339
Ac 1.249 3.113 2.342
Ac 3.391 1.100 6.123
Ac 3.037 5.331 6.120
S 2.773 7.597 0.009
S 0.631 5.079 8.449
S 3.655 3.366 0.013
S 3.276 1.056 3.088
S 1.133 3.157 5.377
S 1.512 0.847 8.453
S 3.152 5.288 3.085
S 1.009 7.388 5.374
```

***

Relative stability in meV/atom, measured from the most stable structure: one 365; two 0

***

one | The following is a PBE calculation of a relaxed structure of Ac3Sb2S, from the Alexandria database.

Cell and atoms, written as extended XYZ:
```
12
Lattice="8.040 0.229 0.394 -1.544 7.904 -0.294 -1.544 -4.174 6.719" Properties=species:S:1:pos:R:3 pbc="T T T"
Ac -0.806 0.029 2.258
Ac 3.214 2.061 1.341
Ac -0.772 3.952 -0.147
Ac 5.758 3.930 4.561
Ac 3.248 -1.973 3.556
Ac 1.738 1.898 5.477
Sb 0.466 6.965 0.383
Sb 0.466 -1.148 5.093
Sb 4.486 -3.006 6.435
Sb 4.486 5.107 1.725
S 0.466 2.953 2.712
S 4.486 1.006 4.106
```

***

two | The following is a PBE calculation of a relaxed structure of Ac3Sb2S, from the Alexandria database.

Cell and atoms, written as extended XYZ:
```
6
Lattice="4.557 0.000 -1.038 -0.236 4.551 -1.039 -0.035 -0.036 10.365" Properties=species:S:1:pos:R:3 pbc="T T T"
Ac 4.006 4.227 7.117
Ac 1.164 1.233 5.163
Ac 2.563 2.706 0.783
Sb 0.429 0.459 1.940
Sb 3.297 3.480 4.006
S 1.845 1.952 8.155
```

***

Relative stability in meV/atom, measured from the most stable structure: one 0; two 26

***

one | The following is a PBE calculation of a relaxed structure of Ac2SbS, from the Alexandria database.

Cell and atoms, written as extended XYZ:
```
8
Lattice="-2.202 -2.682 2.931 5.533 -5.509 -0.885 4.017 3.094 5.848" Properties=species:S:1:pos:R:3 pbc="T T T"
Ac 3.135 -2.678 1.664
Ac 4.213 -2.419 6.230
Ac 6.935 -5.129 5.794
Ac 0.413 0.032 2.100
Sb 3.195 -0.228 3.951
Sb 4.153 -4.869 3.943
S 0.061 -3.136 2.455
S 7.288 -1.961 5.439
```

***

two | The following is a PBE calculation of a relaxed structure of Ac2SbS, from the Alexandria database.

Cell and atoms, written as extended XYZ:
```
4
Lattice="-2.116 1.373 -3.825 -4.519 0.752 0.026 -1.028 7.752 0.607" Properties=species:S:1:pos:R:3 pbc="T T T"
Sb -3.831 4.938 -1.596
Ac -1.939 2.333 -0.834
Ac -5.724 7.543 -2.357
S 0.000 0.000 0.000
```

***

Relative stability in meV/atom, measured from the most stable structure: one 148; two 0

***

one | The following is a PBE calculation of a relaxed structure of Ac2SbS, from the Alexandria database.

Cell and atoms, written as extended XYZ:
```
4
Lattice="-3.271 1.820 -1.167 -2.026 -3.320 0.500 -1.509 2.035 7.404" Properties=species:S:1:pos:R:3 pbc="T T T"
Sb -3.403 0.268 3.368
Ac -1.140 1.538 5.595
Ac -0.369 0.497 1.809
S -2.649 -0.750 -0.334
```

***

two | The following is a PBE calculation of a relaxed structure of Ac2SbS, from the Alexandria database.

Cell and atoms, written as extended XYZ:
```
4
Lattice="5.558 0.000 0.000 2.779 4.813 0.000 2.779 1.604 4.538" Properties=species:S:1:pos:R:3 pbc="T T T"
Sb 0.000 0.000 0.000
Ac 2.779 1.604 1.134
Ac 8.337 4.813 3.403
S 5.558 3.209 2.269
```

***

Relative stability in meV/atom, measured from the most stable structure: one 17; two 0

***

one | The following is a PBE calculation of a relaxed structure of Ac2SbS5, from the Alexandria database.

Cell and atoms, written as extended XYZ:
```
16
Lattice="5.441 0.000 0.000 -2.720 7.344 0.000 0.000 0.000 13.598" Properties=species:S:1:pos:R:3 pbc="T T T"
Ac 2.720 5.167 5.840
Ac 2.720 5.167 0.959
Ac 0.000 2.176 7.758
Ac 0.000 2.176 12.639
Sb 2.720 4.924 10.198
Sb 0.000 2.419 3.399
S 2.720 6.656 12.011
S 2.720 6.656 8.386
S 0.000 4.209 5.535
S 0.000 4.209 1.264
S 2.720 3.163 3.399
S 0.000 4.180 10.198
S 2.720 3.135 8.063
S 2.720 3.135 12.334
S 0.000 0.688 1.587
S 0.000 0.688 5.212
```

***

two | The following is a PBE calculation of a relaxed structure of Ac2SbS5, from the Alexandria database.

Cell and atoms, written as extended XYZ:
```
16
Lattice="-1.157 -2.184 3.430 -0.643 -6.618 -4.430 11.229 -2.543 2.169" Properties=species:S:1:pos:R:3 pbc="T T T"
Ac 0.953 -5.328 -0.465
Ac 8.476 -6.017 1.633
Ac 6.342 -8.916 -0.931
Ac 3.086 -2.429 2.100
Sb 5.293 -4.581 -1.131
Sb 0.000 0.000 0.000
S 5.614 -1.272 1.084
S -0.322 -3.309 -2.215
S 1.750 -6.187 -3.349
S 8.836 -2.974 1.087
S 7.501 -6.053 -1.323
S 3.085 -3.108 -0.938
S 3.871 -6.761 -0.393
S 5.558 -4.584 1.562
S 9.407 -8.837 0.152
S 0.022 -2.507 1.016
```

***

Relative stability in meV/atom, measured from the most stable structure: one 171; two 0

***

one | The following is a PBE calculation of a relaxed structure of AcScS, from the Alexandria database.

Cell and atoms, written as extended XYZ:
```
3
Lattice="3.881 0.000 0.000 -1.940 3.361 0.000 0.000 0.000 6.577" Properties=species:S:1:pos:R:3 pbc="T T T"
Sc 1.940 1.120 2.864
Ac 0.000 0.000 6.165
S 0.000 2.241 4.125
```

***

two | The following is a PBE calculation of a relaxed structure of AcScS, from the Alexandria database.

Cell and atoms, written as extended XYZ:
```
6
Lattice="4.880 -0.948 0.366 1.086 5.881 0.762 2.400 1.820 6.378" Properties=species:S:1:pos:R:3 pbc="T T T"
S 2.553 0.823 1.933
S 5.813 5.930 5.573
Sc 4.980 0.332 2.252
Sc 3.386 6.420 5.254
Ac 3.111 3.787 2.112
Ac 5.255 2.966 5.394
```

***

Relative stability in meV/atom, measured from the most stable structure: one 50; two 0

***

one | The following is a PBE calculation of a relaxed structure of AcScS4, from the Alexandria database.

Cell and atoms, written as extended XYZ:
```
12
Lattice="7.063 0.296 0.000 -1.452 7.339 0.000 -2.806 -3.817 5.604" Properties=species:S:1:pos:R:3 pbc="T T T"
Ac 1.040 3.743 1.485
Ac 1.766 0.074 4.119
Sc -2.492 3.596 4.712
Sc 5.297 0.222 0.892
S 4.016 -1.818 5.155
S 3.193 2.455 3.153
S -0.485 1.966 5.155
S -1.113 5.032 3.153
S 3.919 -1.214 2.451
S 3.290 1.852 0.449
S -0.387 1.362 2.451
S -1.211 5.635 0.449
```

***

two | The following is a PBE calculation of a relaxed structure of AcScS4, from the Alexandria database.

Cell and atoms, written as extended XYZ:
```
12
Lattice="7.040 0.532 -0.087 -0.504 6.155 -3.080 0.953 0.221 8.018" Properties=species:S:1:pos:R:3 pbc="T T T"
Ac 1.117 1.020 1.855
Ac 6.373 5.889 2.995
Sc 5.925 3.515 6.057
Sc 1.565 3.393 -1.206
S 6.472 2.445 3.828
S 3.446 2.260 0.131
S -0.124 1.515 -0.758
S 4.299 1.536 6.276
S 1.018 4.464 1.022
S 4.044 4.648 4.719
S 0.574 4.861 5.696
S 3.191 5.372 -1.426
```

***

Relative stability in meV/atom, measured from the most stable structure: one 21; two 0

***

one | The following is a PBE calculation of a relaxed structure of Ac4Se3S, from the Alexandria database.

Cell and atoms, written as extended XYZ:
```
8
Lattice="-3.829 -0.779 2.031 -3.438 -0.882 -6.821 2.658 -6.804 2.399" Properties=species:S:1:pos:R:3 pbc="T T T"
Ac -0.185 -1.824 -1.049
Ac -3.868 -2.713 -3.561
Ac -0.595 -5.862 -3.372
Ac -0.741 -5.752 1.170
S -1.914 -0.390 1.015
Se 1.329 -3.402 1.200
Se -2.305 -4.233 -1.195
Se -1.719 -0.441 -3.410
```

***

two | The following is a PBE calculation of a relaxed structure of Ac4Se3S, from the Alexandria database.

Cell and atoms, written as extended XYZ:
```
8
Lattice="6.265 0.000 0.000 0.000 6.265 0.000 0.000 0.000 6.265" Properties=species:S:1:pos:R:3 pbc="T T T"
Ac 3.132 0.000 0.000
Ac 0.000 3.132 0.000
Ac 0.000 0.000 3.132
Ac 3.132 3.132 3.132
Se 0.000 3.132 3.132
Se 3.132 0.000 3.132
Se 3.132 3.132 0.000
S 0.000 0.000 0.000
```

***

Relative stability in meV/atom, measured from the most stable structure: one 0; two 20

***

one | The following is a PBE calculation of a relaxed structure of Ac2Se2S, from the Alexandria database.

Cell and atoms, written as extended XYZ:
```
5
Lattice="-1.751 -0.286 5.437 -3.137 -4.615 -1.253 8.581 -2.232 -0.333" Properties=species:S:1:pos:R:3 pbc="T T T"
Ac 2.108 -1.614 0.608
Ac 1.585 -5.520 3.243
Se 1.500 -4.649 0.253
Se 2.193 -2.485 3.597
S 0.000 0.000 0.000
```

***

two | The following is a PBE calculation of a relaxed structure of Ac2Se2S, from the Alexandria database.

Cell and atoms, written as extended XYZ:
```
10
Lattice="-4.651 3.113 3.602 -5.778 -3.520 -4.419 5.094 -4.436 4.262" Properties=species:S:1:pos:R:3 pbc="T T T"
Ac -1.521 -4.480 1.908
Ac -3.814 -0.362 1.537
Ac -4.343 -3.658 -2.447
Ac -0.993 -1.185 5.892
Se -4.507 -3.038 2.955
Se -0.828 -1.804 0.490
Se -1.567 0.720 3.505
Se -3.769 -5.562 -0.060
S -6.377 0.575 0.492
S -4.052 -0.982 -1.309
```

***

Relative stability in meV/atom, measured from the most stable structure: one 191; two 0

***

one | The following is a PBE calculation of a relaxed structure of Ac5Se4S, from the Alexandria database.

Cell and atoms, written as extended XYZ:
```
10
Lattice="4.434 0.000 0.000 2.217 3.840 0.000 2.217 1.280 18.104" Properties=species:S:1:pos:R:3 pbc="T T T"
Ac 4.434 2.560 14.430
Ac 0.000 0.000 0.000
Ac 4.434 2.560 3.675
Ac 6.651 3.840 10.726
Ac 2.217 1.280 7.378
Se 6.651 3.840 5.521
Se 2.217 1.280 1.838
Se 6.651 3.840 16.266
Se 2.217 1.280 12.584
S 4.434 2.560 9.052
```

***

two | The following is a PBE calculation of a relaxed structure of Ac5Se4S, from the Alexandria database.

Cell and atoms, written as extended XYZ:
```
10
Lattice="4.389 0.000 -0.619 -0.087 4.388 -0.619 0.020 0.021 16.024" Properties=species:S:1:pos:R:3 pbc="T T T"
Ac 0.418 0.427 2.968
Ac 2.151 2.194 -0.619
Ac 3.904 3.982 11.819
Ac 1.297 1.323 9.202
Ac 3.025 3.086 5.586
Se 1.735 1.770 12.312
Se 3.464 3.533 8.695
Se 0.859 0.876 6.092
Se 2.587 2.639 2.476
S 0.000 0.000 0.000
```

***

Relative stability in meV/atom, measured from the most stable structure: one 0; two 9